# 1
The following is a DFT calculation (PBE) of crystalline DyP3Ru5 at its relaxed geometry.

The structure in POSCAR format:
```
DyP3Ru5
1.0
3.868 0.000 0.000
-1.934 6.085 0.000
0.000 0.000 11.981
Ru P Dy
10 6 2
direct
0.444 0.888 0.148
0.444 0.888 0.352
0.000 0.000 0.500
0.794 0.587 0.075
0.556 0.112 0.648
0.000 0.000 0.000
0.206 0.413 0.925
0.556 0.112 0.852
0.206 0.413 0.575
0.794 0.587 0.425
0.868 0.736 0.250
0.387 0.774 0.547
0.387 0.774 0.953
0.613 0.226 0.047
0.132 0.264 0.750
0.613 0.226 0.453
0.164 0.328 0.250
0.836 0.672 0.750
```

Calculated formation energy ... -0.55 eV/atom
Space group ... Cmcm (63)

***

# 2
The following is a DFT calculation (PBE) of crystalline Si2BiO at its relaxed geometry.

The structure in POSCAR format:
```
Si2BiO
1.0
-4.163 -1.391 -1.539
-3.830 0.971 2.454
-3.053 3.125 -1.595
Bi O Si
1 1 2
direct
0.500 0.500 0.500
0.000 0.000 0.000
0.750 0.750 0.750
0.250 0.250 0.250
```

ΔE_f (raw) ... 2.63 eV/f.u.
Excess energy over the best structure of this formula in the dataset ... 0.734 eV/atom
Space group ... Fm-3m (225)

***

# 3
The following is a DFT calculation (PBE) of crystalline CrCu2As at its relaxed geometry.

The structure in POSCAR format:
```
CrCu2As
1.0
4.284 0.000 0.000
2.142 3.710 0.000
2.142 1.237 3.498
As Cu Cr
1 2 1
direct
0.500 0.500 0.500
0.000 0.000 0.000
0.250 0.250 0.250
0.750 0.750 0.750
```

Calculated formation energy ... 0.18 eV/atom
Space group ... F-43m (216)

***

# 4
The following is a DFT calculation (PBE) of crystalline Cs3Na4Tl2 at its relaxed geometry.

The structure in POSCAR format:
```
Cs3Na4Tl2
1.0
9.145 0.338 2.574
-2.065 10.377 5.977
-0.019 0.887 10.806
Tl Cs Na
4 6 8
direct
0.920 0.867 0.546
0.580 0.412 0.454
0.420 0.588 0.546
0.080 0.133 0.454
0.139 0.213 0.760
0.361 0.973 0.240
0.250 0.435 0.000
0.750 0.565 0.000
0.639 0.027 0.760
0.861 0.787 0.240
0.568 0.793 0.598
0.068 0.609 0.598
0.684 0.433 0.710
0.316 0.567 0.290
0.184 0.857 0.710
0.816 0.143 0.290
0.932 0.391 0.402
0.432 0.207 0.402
```

Calculated formation energy ... -0.02 eV/atom
Excess energy over the best structure of this formula in the dataset ... 0.000 eV/atom
Space group ... C2/c (15)

***

# 5
The following is a DFT calculation (PBE) of crystalline BaCuSe at its relaxed geometry.

The structure in POSCAR format:
```
BaCuSe
1.0
5.527 -0.035 -0.047
1.827 5.217 0.047
-3.653 -2.625 3.212
Se Cu Ba
1 1 1
direct
0.626 0.626 0.000
0.365 0.365 0.000
0.009 0.009 0.000
```

ΔE_f (raw) ... -1.79 eV/f.u.
Excess energy over the best structure of this formula in the dataset ... 0.219 eV/atom
Space group ... I4mm (107)

***

# 6
The following is a DFT calculation (PBE) of crystalline La2BeRuAu at its relaxed geometry.

The structure in POSCAR format:
```
La2BeRuAu
1.0
-1.191 4.162 -3.277
-0.435 -3.425 -4.191
-4.223 -0.525 0.867
La Au Be Ru
2 1 1 1
direct
0.500 0.000 0.000
0.000 0.500 0.000
0.500 0.500 0.500
0.000 0.000 0.500
0.000 0.000 0.000
```

Calculated formation energy ... -0.26 eV/atom
Space group ... P4/mmm (123)

***

# 7
The following is a DFT calculation (PBE) of crystalline Ac6ZnNi2Br3 at its relaxed geometry.

The structure in POSCAR format:
```
Ac6ZnNi2Br3
1.0
7.650 0.019 -0.002
-3.806 6.636 -0.002
-1.284 -2.222 8.042
Ac Zn Br Ni
6 1 3 2
direct
0.287 0.287 0.800
0.932 0.578 0.797
0.713 0.713 0.200
0.422 0.068 0.203
0.578 0.932 0.797
0.068 0.422 0.203
0.000 0.000 0.000
0.839 0.161 0.500
0.161 0.839 0.500
0.500 0.500 0.500
0.332 0.668 0.000
0.668 0.332 0.000
```

ΔE_f (raw) ... -9.29 eV/f.u.
Space group ... C2/m (12)

***

# 8
The following is a DFT calculation (PBE) of crystalline K2Pb at its relaxed geometry.

The structure in POSCAR format:
```
K2Pb
1.0
-1.982 6.919 1.646
-2.441 5.389 -4.418
-0.738 -7.110 1.851
Pb K
1 2
direct
0.000 0.000 0.000
0.648 0.648 0.000
0.352 0.352 0.000
```

Calculated formation energy ... -0.03 eV/atom
Space group ... I4/mmm (139)

***

# 9
The following is a DFT calculation (PBE) of crystalline Pm8Sn2Ru3 at its relaxed geometry.

The structure in POSCAR format:
```
Pm8Sn2Ru3
1.0
5.035 0.000 0.000
0.000 8.654 -4.975
0.000 -0.549 9.066
Pm Ru Sn
8 3 2
direct
0.500 0.645 0.780
0.500 0.355 0.220
0.500 0.135 0.779
0.500 0.865 0.221
0.000 0.113 0.226
0.000 0.887 0.774
0.000 0.391 0.782
0.000 0.609 0.218
0.000 0.751 0.000
0.500 0.000 0.000
0.000 0.249 0.000
0.500 0.256 0.512
0.500 0.744 0.488
```

Calculated formation energy ... -0.32 eV/atom
Excess energy over the best structure of this formula in the dataset ... 0.000 eV/atom
Space group ... P2/m (10)

***

# 10
The following is a DFT calculation (PBE) of crystalline HgOsSe at its relaxed geometry.

The structure in POSCAR format:
```
HgOsSe
1.0
4.456 0.000 0.000
2.228 3.859 0.000
2.228 1.286 3.638
Hg Os Se
1 1 1
direct
0.500 0.500 0.500
0.750 0.750 0.750
0.000 0.000 0.000
```

ΔE_f (raw) ... 2.63 eV/f.u.
Excess energy over the best structure of this formula in the dataset ... 0.509 eV/atom
Space group ... F-43m (216)

***

# 11
The following is a DFT calculation (PBE) of crystalline Pr2YHfP4 at its relaxed geometry.

The structure in POSCAR format:
```
Pr2YHfP4
1.0
-3.956 0.588 0.252
-0.457 -0.105 -6.934
-0.808 -6.483 2.449
P Y Pr Hf
4 1 2 1
direct
0.500 0.231 0.224
0.500 0.769 0.776
0.000 0.754 0.230
0.000 0.246 0.770
0.500 0.500 0.000
0.000 0.500 0.500
0.500 0.000 0.500
0.000 0.000 0.000
```

Calculated formation energy ... -1.47 eV/atom
Space group ... P2/m (10)

***

# 12
The following is a DFT calculation (PBE) of crystalline NaLaP2O6 at its relaxed geometry.

The structure in POSCAR format:
```
NaLaP2O6
1.0
-5.731 -3.442 0.183
3.542 0.138 5.671
-2.299 7.835 -1.226
O P La Na
12 4 2 2
direct
0.506 0.926 0.774
0.735 0.940 0.418
0.926 0.506 0.274
0.755 0.592 0.583
0.494 0.074 0.226
0.060 0.265 0.082
0.245 0.408 0.417
0.592 0.755 0.083
0.408 0.245 0.917
0.074 0.494 0.726
0.265 0.060 0.582
0.940 0.735 0.918
0.680 0.996 0.249
0.996 0.680 0.749
0.004 0.320 0.251
0.320 0.004 0.751
0.536 0.464 0.250
0.464 0.536 0.750
0.130 0.870 0.250
0.870 0.130 0.750
```

ΔE_f (raw) ... -25.44 eV/f.u.
Space group ... C2/c (15)